Entry 1:
{"formula": "Ca2BeGe3", "functional": "PBE", "state": "relaxed", "lattice_angstrom": [[-4.001, -4.183, -1.482], [3.618, -3.878, 2.752], [-3.223, 5.148, 5.429]], "species": ["Ca", "Ca", "Ca", "Ca", "Be", "Be", "Ge", "Ge", "Ge", "Ge", "Ge", "Ge"], "frac_coords": [[0.750, 0.250, 0.500], [0.762, 0.238, 0.000], [0.250, 0.750, 0.500], [0.238, 0.762, 0.000], [0.667, 0.667, 0.334], [0.333, 0.333, 0.666], [0.820, 0.820, 0.176], [0.644, 0.644, 0.824], [0.180, 0.180, 0.824], [0.356, 0.356, 0.176], [0.175, 0.175, 0.350], [0.825, 0.825, 0.650]], "de_polymorph_mev_per_atom": 0, "e_form_ev_per_atom": -0.45}

Entry 2:
{"formula": "CePu2Se5", "functional": "PBE", "state": "relaxed", "lattice_angstrom": [[-2.053, -7.410, 1.052], [7.136, -2.495, -3.645], [5.567, 0.005, 10.895]], "species": ["Ce", "Ce", "Ce", "Ce", "Pu", "Pu", "Pu", "Pu", "Pu", "Pu", "Pu", "Pu", "Se", "Se", "Se", "Se", "Se", "Se", "Se", "Se", "Se", "Se", "Se", "Se", "Se", "Se", "Se", "Se", "Se", "Se", "Se", "Se"], "frac_coords": [[0.418, 0.250, 0.511], [0.582, 0.750, 0.489], [0.918, 0.750, 0.989], [0.082, 0.250, 0.011], [0.481, 0.501, 0.821], [0.519, 0.499, 0.179], [0.981, 0.499, 0.679], [0.519, 0.001, 0.179], [0.019, 0.501, 0.321], [0.481, 0.999, 0.821], [0.019, 0.999, 0.321], [0.981, 0.001, 0.679], [0.033, 0.250, 0.500], [0.967, 0.750, 0.500], [0.533, 0.750, 0.000], [0.467, 0.250, 0.000], [0.335, 0.951, 0.599], [0.665, 0.049, 0.401], [0.835, 0.049, 0.901], [0.665, 0.451, 0.401], [0.165, 0.951, 0.099], [0.335, 0.549, 0.599], [0.165, 0.549, 0.099], [0.835, 0.451, 0.901], [0.204, 0.250, 0.779], [0.796, 0.750, 0.221], [0.704, 0.750, 0.721], [0.296, 0.250, 0.279], [0.673, 0.250, 0.688], [0.327, 0.750, 0.312], [0.173, 0.750, 0.812], [0.827, 0.250, 0.188]], "formation_energy_uncorrected_ev_per_atom": -1.52}

Entry 3:
{"formula": "K2RhBr", "functional": "PBE", "state": "relaxed", "lattice_angstrom": [[5.919, 0.000, 0.000], [0.000, 5.924, 0.000], [0.000, 0.000, 3.466]], "species": ["Br", "K", "K", "Rh"], "frac_coords": [[0.000, 0.500, 0.500], [0.000, 0.000, 0.000], [0.500, 0.500, 0.000], [0.500, 0.000, 0.500]], "de_polymorph_mev_per_atom": 102, "formation_energy_uncorrected_ev_per_atom": -0.07}

Entry 4:
{"formula": "Na3Tl2Pb5", "functional": "PBE", "state": "relaxed", "lattice_angstrom": [[-4.824, 4.236, 2.032], [-3.740, -3.391, 9.349], [4.604, 8.318, 4.744]], "species": ["Na", "Na", "Na", "Na", "Na", "Na", "Tl", "Tl", "Tl", "Tl", "Pb", "Pb", "Pb", "Pb", "Pb", "Pb", "Pb", "Pb", "Pb", "Pb"], "frac_coords": [[0.250, 0.000, 0.000], [0.750, 0.000, 0.000], [0.362, 0.421, 0.855], [0.638, 0.579, 0.145], [0.862, 0.855, 0.421], [0.138, 0.145, 0.579], [0.092, 0.750, 0.066], [0.908, 0.250, 0.934], [0.592, 0.066, 0.750], [0.408, 0.934, 0.250], [0.250, 0.500, 0.500], [0.750, 0.500, 0.500], [0.485, 0.765, 0.765], [0.015, 0.235, 0.235], [0.515, 0.235, 0.235], [0.985, 0.765, 0.765], [0.137, 0.506, 0.221], [0.863, 0.494, 0.779], [0.637, 0.221, 0.506], [0.363, 0.779, 0.494]], "de_polymorph_mev_per_atom": 0, "e_form_ev_per_atom": 0.00}

Entry 5:
{"formula": "Zn6Ag2Au3", "functional": "PBE", "state": "relaxed", "lattice_angstrom": [[-0.495, 1.925, 2.038], [-8.559, -0.325, -1.772], [-5.235, -5.684, 4.097]], "species": ["Zn", "Zn", "Zn", "Zn", "Zn", "Zn", "Ag", "Ag", "Au", "Au", "Au"], "frac_coords": [[0.500, 0.404, 0.404], [0.500, 0.596, 0.596], [0.500, 0.953, 0.352], [0.500, 0.047, 0.648], [0.500, 0.352, 0.953], [0.500, 0.648, 0.047], [0.000, 0.287, 0.713], [0.000, 0.713, 0.287], [0.000, 0.253, 0.253], [0.000, 0.747, 0.747], [0.500, 0.000, 0.000]], "de_polymorph_mev_per_atom": 0, "e_form_ev_per_atom": -0.07}

Entry 6:
{"formula": "HfAsPd", "functional": "PBE", "state": "relaxed", "lattice_angstrom": [[-3.317, -0.714, 2.022], [1.110, -6.630, -0.520], [2.465, 3.429, 5.256]], "species": ["As", "As", "As", "Hf", "Hf", "Hf", "Pd", "Pd", "Pd"], "frac_coords": [[0.500, 0.000, 0.000], [0.000, 0.333, 0.667], [0.000, 0.667, 0.333], [0.500, 0.596, 0.000], [0.500, 0.404, 0.404], [0.500, 0.000, 0.596], [0.000, 0.000, 0.264], [0.000, 0.736, 0.736], [0.000, 0.264, 0.000]], "e_form_ev_per_atom": -0.79}

Calculated V, 251 797 122 679 187 156 Å³ per cell (same order as the records).
Calculated total magnetization, 0.0 10.0 1.2 0.0 0.0 0.0 μB/f.u. (same order as the records).